[1]
## ZrMn2Ag (GGA-PBE)

Data for a relaxed ZrMn2Ag crystal.

Properties
Excess energy over the best structure of this formula in the dataset   0 meV/atom
D(E_F)   3.12 states/eV/f.u.
Total magnetic moment   1.109 Bohr magnetons per cell
DFT formation energy   0.088 eV per atom
Total DFT energy (no corrections)   -7.347 eV/atom
Crystal system   orthorhombic

The structure in CIF format:
```
data_ZrMn2Ag
_space_group_name_H-M_alt 'P m m 2'
_space_group_IT_number 25
_space_group_name_Hall 'P 2 -2'
_cell_length_a 3.013
_cell_length_b 3.063
_cell_length_c 7.164
_cell_angle_alpha 90.00
_cell_angle_beta 90.00
_cell_angle_gamma 90.00
loop_
_atom_site_label
_atom_site_type_symbol
_atom_site_fract_x
_atom_site_fract_y
_atom_site_fract_z
_atom_site_occupancy
Zr1 Zr 0.000 0.000 0.000 1
Mn1 Mn 0.000 0.000 0.440 1
Mn2 Mn 0.500 0.500 0.268 1
Ag1 Ag 0.500 0.500 0.691 1
```

[2]
## Cs2NaAlZn (GGA-PBE)

Data for a relaxed Cs2NaAlZn crystal.

Properties
D(E_F)   5.18 states/eV/f.u.
Total magnetic moment   0.323 Bohr magnetons per cell
DFT formation energy   0.491 eV per atom
Total DFT energy (no corrections)   -1.118 eV/atom
Crystal system   tetragonal

The structure in CIF format:
```
data_Cs2NaAlZn
_space_group_name_H-M_alt 'P 4/m m m'
_space_group_IT_number 123
_space_group_name_Hall '-P 4 2'
_cell_length_a 6.958
_cell_length_b 6.958
_cell_length_c 5.718
_cell_angle_alpha 90.00
_cell_angle_beta 90.00
_cell_angle_gamma 90.00
loop_
_atom_site_label
_atom_site_type_symbol
_atom_site_fract_x
_atom_site_fract_y
_atom_site_fract_z
_atom_site_occupancy
Cs1 Cs 0.000 0.500 0.000 1
Na1 Na 0.000 0.000 0.500 1
Al1 Al 0.500 0.500 0.500 1
Zn1 Zn 0.000 0.000 0.000 1
```